Density functional theory data (SCAN) for a crystal of KCr2P relaxed with PBEsol.

Calculated values
mass density	3.60	g/cm3
energy of formation	240.4	kJ/mol of formula units
electronic total energy	-13.25	eV/atom
N(E_F)	1.10	states/eV/cell

Cell lengths 4.844, 4.844, 4.844 Å; angles 60.00, 60.00, 60.00 degrees
Last column: magnetic moment on the atom in μB.
Fractional coordinates of all 4 atoms:
K1 0.500 0.500 0.500  0.07
Cr1 0.000 0.000 0.000  4.19
Cr2 0.750 0.750 0.750  4.49
P1 0.250 0.250 0.250  -0.12

Density functional theory data (SCAN) for a crystal of Al3Ag4 relaxed with PBEsol.

Calculated values
mass density	7.60	g/cm3
energy relative to the lowest polymorph listed for this composition	4	meV per atom
energy of formation	-66.3	kJ/mol of formula units
electronic total energy	-21.34	eV/atom
N(E_F)	1.68	states/eV/cell

Cell lengths 4.776, 4.939, 5.024 Å; angles 102.63, 99.28, 98.64 degrees
Fractional coordinates of all 7 atoms:
Al1 0.653 0.287 0.079
Al2 0.347 0.713 0.921
Al3 0.500 0.000 0.500
Ag1 0.220 0.442 0.350
Ag2 0.088 0.139 0.787
Ag3 0.912 0.861 0.213
Ag4 0.780 0.558 0.650